# Ac4GeSe2Cl GGA-PBE optimized geometry
data_Ac4GeSe2Cl
_symmetry_space_group_name_H-M 'I 4/m m m'
_symmetry_Int_Tables_number 139
_symmetry_space_group_name_Hall '-I 4 2'
_cell_length_a 6.3203
_cell_length_b 6.3203
_cell_length_c 12.7522
_cell_angle_alpha 90.00
_cell_angle_beta 90.00
_cell_angle_gamma 90.00
loop_
_atom_site_label
_atom_site_type_symbol
_atom_site_fract_x
_atom_site_fract_y
_atom_site_fract_z
_atom_site_occupancy
Ac1 Ac 0.0000 0.0000 0.2425 1
Ac2 Ac 0.0000 0.5000 0.0000 1
Ge1 Ge 0.0000 0.0000 0.0000 1
Se1 Se 0.0000 0.5000 0.2500 1
Cl1 Cl 0.0000 0.0000 0.5000 1
# Uncorrected energy (eV for the cell shown): -84.623
# Formation energy without anion corrections (meV per atom): -1556

---

# ErTm4Sc8 GGA-PBE optimized geometry
data_ErTm4Sc8
_symmetry_space_group_name_H-M 'R -3 m'
_symmetry_Int_Tables_number 166
_symmetry_space_group_name_Hall '-R 3 2"'
_cell_length_a 10.3631
_cell_length_b 10.3631
_cell_length_c 12.6647
_cell_angle_alpha 90.00
_cell_angle_beta 90.00
_cell_angle_gamma 120.00
loop_
_atom_site_label
_atom_site_type_symbol
_atom_site_fract_x
_atom_site_fract_y
_atom_site_fract_z
_atom_site_occupancy
Er1 Er 0.0000 0.0000 0.0000 1
Tm1 Tm 0.0000 0.0000 0.5000 1
Tm2 Tm 0.0000 0.5000 0.5000 1
Sc1 Sc 0.0000 0.0000 0.2593 1
Sc2 Sc 0.0121 0.5061 0.2464 1
# Uncorrected energy (eV for the cell shown): -196.291
# Formation energy from the elements (eV per atom): 0.5901

---

# NdEuRhAu GGA-PBE optimized geometry
data_NdEuRhAu
_symmetry_space_group_name_H-M 'F -4 3 m'
_symmetry_Int_Tables_number 216
_symmetry_space_group_name_Hall 'F -4 2 3'
_cell_length_a 7.2493
_cell_length_b 7.2493
_cell_length_c 7.2493
_cell_angle_alpha 90.00
_cell_angle_beta 90.00
_cell_angle_gamma 90.00
loop_
_atom_site_label
_atom_site_type_symbol
_atom_site_fract_x
_atom_site_fract_y
_atom_site_fract_z
_atom_site_occupancy
Nd1 Nd 0.0000 0.0000 0.0000 1
Eu1 Eu 0.0000 0.0000 0.5000 1
Rh1 Rh 0.2500 0.2500 0.2500 1
Au1 Au 0.2500 0.2500 0.7500 1
# Uncorrected energy (eV for the cell shown): -112.859
# Formation energy from the elements (eV per atom): -0.6360

---

# BaTa2H2O7 GGA-PBE optimized geometry
data_BaTa2H2O7
_symmetry_space_group_name_H-M 'I m m 2'
_symmetry_Int_Tables_number 44
_symmetry_space_group_name_Hall 'I 2 -2'
_cell_length_a 4.0007
_cell_length_b 19.4762
_cell_length_c 4.0304
_cell_angle_alpha 90.00
_cell_angle_beta 90.00
_cell_angle_gamma 90.00
loop_
_atom_site_label
_atom_site_type_symbol
_atom_site_fract_x
_atom_site_fract_y
_atom_site_fract_z
_atom_site_occupancy
Ba1 Ba 0.0000 0.0000 0.0000 1
Ta1 Ta 0.0000 0.3896 0.9896 1
H1 H 0.0000 0.2602 0.2049 1
O1 O 0.0000 0.1005 0.5077 1
O2 O 0.0000 0.2914 0.0159 1
O3 O 0.0000 0.3966 0.5109 1
O4 O 0.0000 0.5000 0.0144 1
# Uncorrected energy (eV for the cell shown): -192.276

---

# Tm2PuGa GGA-PBE optimized geometry
data_Tm2PuGa
_symmetry_space_group_name_H-M 'P 4/m m m'
_symmetry_Int_Tables_number 123
_symmetry_space_group_name_Hall '-P 4 2'
_cell_length_a 3.4192
_cell_length_b 3.4192
_cell_length_c 8.6790
_cell_angle_alpha 90.00
_cell_angle_beta 90.00
_cell_angle_gamma 90.00
loop_
_atom_site_label
_atom_site_type_symbol
_atom_site_fract_x
_atom_site_fract_y
_atom_site_fract_z
_atom_site_occupancy
Tm1 Tm 0.0000 0.0000 0.2135 1
Pu1 Pu 0.5000 0.5000 0.5000 1
Ga1 Ga 0.5000 0.5000 0.0000 1
# Uncorrected energy (eV for the cell shown): -27.168
# Formation energy from the elements (eV per atom): -0.2165
# Offset from the most stable computed form (meV/atom): 0

---

# HgP2RhS GGA-PBE optimized geometry
data_HgP2RhS
_symmetry_space_group_name_H-M 'P 4/m m m'
_symmetry_Int_Tables_number 123
_symmetry_space_group_name_Hall '-P 4 2'
_cell_length_a 4.4919
_cell_length_b 4.4919
_cell_length_c 5.1925
_cell_angle_alpha 90.00
_cell_angle_beta 90.00
_cell_angle_gamma 90.00
loop_
_atom_site_label
_atom_site_type_symbol
_atom_site_fract_x
_atom_site_fract_y
_atom_site_fract_z
_atom_site_occupancy
Hg1 Hg 0.0000 0.0000 0.0000 1
P1 P 0.0000 0.5000 0.5000 1
Rh1 Rh 0.5000 0.5000 0.5000 1
S1 S 0.5000 0.5000 0.0000 1
# Uncorrected energy (eV for the cell shown): -20.059
# Offset from the most stable computed form (meV/atom): 0
# Formation energy without anion corrections (meV per atom): 508

---

# Cu3Ni2Au4 GGA-PBE optimized geometry
data_Cu3Ni2Au4
_symmetry_space_group_name_H-M 'P -1'
_symmetry_Int_Tables_number 2
_symmetry_space_group_name_Hall '-P 1'
_cell_length_a 3.9734
_cell_length_b 4.5882
_cell_length_c 8.1670
_cell_angle_alpha 102.07
_cell_angle_beta 90.14
_cell_angle_gamma 115.64
loop_
_atom_site_label
_atom_site_type_symbol
_atom_site_fract_x
_atom_site_fract_y
_atom_site_fract_z
_atom_site_occupancy
Cu1 Cu 0.0000 0.0000 0.0000 1
Cu2 Cu 0.3356 0.6715 0.4514 1
Ni1 Ni 0.3235 0.6473 0.7694 1
Au1 Au 0.0123 0.0240 0.3325 1
Au2 Au 0.3362 0.6722 0.1126 1
# Uncorrected energy (eV for the cell shown): -36.698
# Formation energy from the elements (eV per atom): 0.0291

---

# USnOs GGA-PBE optimized geometry
data_USnOs
_symmetry_space_group_name_H-M 'C m c m'
_symmetry_Int_Tables_number 63
_symmetry_space_group_name_Hall '-C 2c 2'
_cell_length_a 3.1333
_cell_length_b 16.0024
_cell_length_c 5.0413
_cell_angle_alpha 90.00
_cell_angle_beta 90.00
_cell_angle_gamma 90.00
loop_
_atom_site_label
_atom_site_type_symbol
_atom_site_fract_x
_atom_site_fract_y
_atom_site_fract_z
_atom_site_occupancy
U1 U 0.0000 0.0865 0.2500 1
Sn1 Sn 0.0000 0.2145 0.7500 1
Os1 Os 0.0000 0.4411 0.2500 1
# Uncorrected energy (eV for the cell shown): -105.455
# Formation energy from the elements (eV per atom): 0.0524

---

# AcThTeIr GGA-PBE optimized geometry
data_AcThTeIr
_symmetry_space_group_name_H-M 'R 3 m'
_symmetry_Int_Tables_number 160
_symmetry_space_group_name_Hall 'R 3 -2"'
_cell_length_a 4.2824
_cell_length_b 4.2824
_cell_length_c 24.0381
_cell_angle_alpha 90.00
_cell_angle_beta 90.00
_cell_angle_gamma 120.00
loop_
_atom_site_label
_atom_site_type_symbol
_atom_site_fract_x
_atom_site_fract_y
_atom_site_fract_z
_atom_site_occupancy
Ac1 Ac 0.0000 0.0000 0.0000 1
Th1 Th 0.0000 0.0000 0.8019 1
Te1 Te 0.0000 0.0000 0.2282 1
Ir1 Ir 0.0000 0.0000 0.4092 1
# Uncorrected energy (eV for the cell shown): -84.038
# Formation energy without anion corrections (meV per atom): -1120

---

# YHoCdOs GGA-PBE optimized geometry
data_YHoCdOs
_symmetry_space_group_name_H-M 'F -4 3 m'
_symmetry_Int_Tables_number 216
_symmetry_space_group_name_Hall 'F -4 2 3'
_cell_length_a 7.0847
_cell_length_b 7.0847
_cell_length_c 7.0847
_cell_angle_alpha 90.00
_cell_angle_beta 90.00
_cell_angle_gamma 90.00
loop_
_atom_site_label
_atom_site_type_symbol
_atom_site_fract_x
_atom_site_fract_y
_atom_site_fract_z
_atom_site_occupancy
Y1 Y 0.0000 0.0000 0.0000 1
Ho1 Ho 0.0000 0.0000 0.5000 1
Cd1 Cd 0.2500 0.2500 0.7500 1
Os1 Os 0.2500 0.2500 0.2500 1
# Uncorrected energy (eV for the cell shown): -96.237
# Formation energy from the elements (eV per atom): -0.2181
# Offset from the most stable computed form (meV/atom): 94

---

# SmTm5Cu4 GGA-PBE optimized geometry
data_SmTm5Cu4
_symmetry_space_group_name_H-M 'P 4/m m m'
_symmetry_Int_Tables_number 123
_symmetry_space_group_name_Hall '-P 4 2'
_cell_length_a 3.4181
_cell_length_b 3.4181
_cell_length_c 19.0185
_cell_angle_alpha 90.00
_cell_angle_beta 90.00
_cell_angle_gamma 90.00
loop_
_atom_site_label
_atom_site_type_symbol
_atom_site_fract_x
_atom_site_fract_y
_atom_site_fract_z
_atom_site_occupancy
Sm1 Sm 0.0000 0.0000 0.0000 1
Tm1 Tm 0.5000 0.5000 0.1399 1
Tm2 Tm 0.5000 0.5000 0.3188 1
Tm3 Tm 0.5000 0.5000 0.5000 1
Cu1 Cu 0.0000 0.0000 0.2284 1
Cu2 Cu 0.0000 0.0000 0.4093 1
# Uncorrected energy (eV for the cell shown): -45.683
# Formation energy from the elements (eV per atom): -0.2222

---

# Y12TmSc2 GGA-PBE optimized geometry
data_Y12TmSc2
_symmetry_space_group_name_H-M 'P 1 2/m 1'
_symmetry_Int_Tables_number 10
_symmetry_space_group_name_Hall '-P 2y'
_cell_length_a 3.5948
_cell_length_b 4.7908
_cell_length_c 27.8457
_cell_angle_alpha 90.00
_cell_angle_beta 93.66
_cell_angle_gamma 90.00
loop_
_atom_site_label
_atom_site_type_symbol
_atom_site_fract_x
_atom_site_fract_y
_atom_site_fract_z
_atom_site_occupancy
Y1 Y 0.0320 0.0000 0.0644 1
Y2 Y 0.0984 0.0000 0.1954 1
Y3 Y 0.1601 0.0000 0.3191 1
Y4 Y 0.2237 0.0000 0.4473 1
Y5 Y 0.3091 0.5000 0.6188 1
Y6 Y 0.4347 0.5000 0.8702 1
Tm1 Tm 0.5000 0.5000 0.0000 1
Sc1 Sc 0.3710 0.5000 0.7431 1
# Uncorrected energy (eV for the cell shown): -92.806
# Formation energy from the elements (eV per atom): 0.1265

---

# KRb2Au2Br6 GGA-PBE optimized geometry
data_KRb2Au2Br6
_symmetry_space_group_name_H-M 'C 1 2/m 1'
_symmetry_Int_Tables_number 12
_symmetry_space_group_name_Hall '-C 2y'
_cell_length_a 14.5536
_cell_length_b 7.3778
_cell_length_c 9.1253
_cell_angle_alpha 90.00
_cell_angle_beta 117.34
_cell_angle_gamma 90.00
loop_
_atom_site_label
_atom_site_type_symbol
_atom_site_fract_x
_atom_site_fract_y
_atom_site_fract_z
_atom_site_occupancy
K1 K 0.0000 0.0000 0.0000 1
Rb1 Rb 0.2189 0.0000 0.7072 1
Au1 Au 0.0519 0.5000 0.7452 1
Br1 Br 0.0820 0.2433 0.3337 1
Br2 Br 0.2441 0.5000 0.8797 1
# Uncorrected energy (eV for the cell shown): -59.896
# Formation energy without anion corrections (meV per atom): -938

---

# GdMgAl2 GGA-PBE optimized geometry
data_GdMgAl2
_symmetry_space_group_name_H-M 'F m -3 m'
_symmetry_Int_Tables_number 225
_symmetry_space_group_name_Hall '-F 4 2 3'
_cell_length_a 6.9956
_cell_length_b 6.9956
_cell_length_c 6.9956
_cell_angle_alpha 90.00
_cell_angle_beta 90.00
_cell_angle_gamma 90.00
loop_
_atom_site_label
_atom_site_type_symbol
_atom_site_fract_x
_atom_site_fract_y
_atom_site_fract_z
_atom_site_occupancy
Gd1 Gd 0.0000 0.0000 0.0000 1
Mg1 Mg 0.0000 0.0000 0.5000 1
Al1 Al 0.2500 0.2500 0.2500 1
# Uncorrected energy (eV for the cell shown): -96.036
# Formation energy from the elements (eV per atom): -0.2121
# Offset from the most stable computed form (meV/atom): 100

---

# ZnBN2O GGA-PBE optimized geometry
data_ZnBN2O
_symmetry_space_group_name_H-M 'P 4/m m m'
_symmetry_Int_Tables_number 123
_symmetry_space_group_name_Hall '-P 4 2'
_cell_length_a 2.9686
_cell_length_b 2.9686
_cell_length_c 6.6050
_cell_angle_alpha 90.00
_cell_angle_beta 90.00
_cell_angle_gamma 90.00
loop_
_atom_site_label
_atom_site_type_symbol
_atom_site_fract_x
_atom_site_fract_y
_atom_site_fract_z
_atom_site_occupancy
Zn1 Zn 0.0000 0.0000 0.0000 1
B1 B 0.5000 0.5000 0.5000 1
N1 N 0.0000 0.5000 0.5000 1
O1 O 0.5000 0.5000 0.0000 1
# Uncorrected energy (eV for the cell shown): -27.480
# Formation energy without anion corrections (meV per atom): 416

---

# Ba3NpCu2S9 GGA-PBE optimized geometry
data_Ba3NpCu2S9
_symmetry_space_group_name_H-M 'P -3 m 1'
_symmetry_Int_Tables_number 164
_symmetry_space_group_name_Hall '-P 3 2"'
_cell_length_a 6.8634
_cell_length_b 6.8634
_cell_length_c 8.5608
_cell_angle_alpha 90.00
_cell_angle_beta 90.00
_cell_angle_gamma 120.00
loop_
_atom_site_label
_atom_site_type_symbol
_atom_site_fract_x
_atom_site_fract_y
_atom_site_fract_z
_atom_site_occupancy
Ba1 Ba 0.0000 0.0000 0.0000 1
Ba2 Ba 0.3333 0.6667 0.6888 1
Np1 Np 0.0000 0.0000 0.5000 1
Cu1 Cu 0.3333 0.6667 0.1544 1
S1 S 0.0000 0.5000 0.0000 1
S2 S 0.1715 0.3430 0.3313 1
# Uncorrected energy (eV for the cell shown): -79.892
# Formation energy without anion corrections (meV per atom): -1056

---

# PdBrCl GGA-PBE optimized geometry
data_PdBrCl
_symmetry_space_group_name_H-M 'C 1 c 1'
_symmetry_Int_Tables_number 9
_symmetry_space_group_name_Hall 'C -2yc'
_cell_length_a 6.5647
_cell_length_b 6.3779
_cell_length_c 7.8184
_cell_angle_alpha 90.00
_cell_angle_beta 108.15
_cell_angle_gamma 90.00
loop_
_atom_site_label
_atom_site_type_symbol
_atom_site_fract_x
_atom_site_fract_y
_atom_site_fract_z
_atom_site_occupancy
Pd1 Pd 0.0000 0.2437 0.0000 1
Br1 Br 0.2510 0.0517 0.2527 1
Cl1 Cl 0.2193 0.4534 0.5532 1
# Uncorrected energy (eV for the cell shown): -37.971
# Offset from the most stable computed form (meV/atom): 101
# Formation energy without anion corrections (meV per atom): -260

---

# Tb3Pr8Ho2 GGA-PBE optimized geometry
data_Tb3Pr8Ho2
_symmetry_space_group_name_H-M 'C 1 2/m 1'
_symmetry_Int_Tables_number 12
_symmetry_space_group_name_Hall '-C 2y'
_cell_length_a 20.5258
_cell_length_b 7.7627
_cell_length_c 5.8016
_cell_angle_alpha 90.00
_cell_angle_beta 90.02
_cell_angle_gamma 90.00
loop_
_atom_site_label
_atom_site_type_symbol
_atom_site_fract_x
_atom_site_fract_y
_atom_site_fract_z
_atom_site_occupancy
Tb1 Tb 0.0000 0.0000 0.0000 1
Tb2 Tb 0.0000 0.2852 0.5000 1
Pr1 Pr 0.1062 0.2947 0.0003 1
Pr2 Pr 0.1317 0.0000 0.4997 1
Pr3 Pr 0.1743 0.5000 0.5008 1
Ho1 Ho 0.2399 0.0000 0.9990 1
# Uncorrected energy (eV for the cell shown): -117.384
# Formation energy from the elements (eV per atom): 0.1992

---

# Nb3AuN GGA-PBE optimized geometry
data_Nb3AuN
_symmetry_space_group_name_H-M 'P 63/m m c'
_symmetry_Int_Tables_number 194
_symmetry_space_group_name_Hall '-P 6c 2c'
_cell_length_a 4.5536
_cell_length_b 4.5536
_cell_length_c 8.6197
_cell_angle_alpha 90.00
_cell_angle_beta 90.00
_cell_angle_gamma 120.00
loop_
_atom_site_label
_atom_site_type_symbol
_atom_site_fract_x
_atom_site_fract_y
_atom_site_fract_z
_atom_site_occupancy
Nb1 Nb 0.0000 0.0000 0.2500 1
Nb2 Nb 0.3333 0.6667 0.0727 1
Au1 Au 0.3333 0.6667 0.7500 1
N1 N 0.0000 0.0000 0.0000 1
# Uncorrected energy (eV for the cell shown): -84.315
# Formation energy without anion corrections (meV per atom): -69

---

# CaPm3Ni8 GGA-PBE optimized geometry
data_CaPm3Ni8
_symmetry_space_group_name_H-M 'R 3 m'
_symmetry_Int_Tables_number 160
_symmetry_space_group_name_Hall 'R 3 -2"'
_cell_length_a 5.1297
_cell_length_b 5.1297
_cell_length_c 25.1844
_cell_angle_alpha 90.00
_cell_angle_beta 90.00
_cell_angle_gamma 120.00
loop_
_atom_site_label
_atom_site_type_symbol
_atom_site_fract_x
_atom_site_fract_y
_atom_site_fract_z
_atom_site_occupancy
Ca1 Ca 0.0000 0.0000 0.0000 1
Pm1 Pm 0.0000 0.0000 0.1237 1
Pm2 Pm 0.0000 0.0000 0.5022 1
Pm3 Pm 0.0000 0.0000 0.6285 1
Ni1 Ni 0.0000 0.0000 0.3138 1
Ni2 Ni 0.0000 0.0000 0.8135 1
Ni3 Ni 0.0018 0.5009 0.0639 1
Ni4 Ni 0.1673 0.3345 0.8966 1
# Uncorrected energy (eV for the cell shown): -198.755
# Formation energy from the elements (eV per atom): -0.3123